[1]
This record from Alexandria describes an optimized crystal structure of CaLa2Tl2. The functional is PBE-GGA.

Output
total magnetic moment: 0.15 μB/atom
energy of formation: -363.6 meV per atom
total DFT energy (no corrections): -3.681 eV per atom

a = 8.725 Å, b = 8.725 Å, c = 4.437 Å
α = 90.00°, β = 90.00°, γ = 90.00°
Fractional positions:
Ca 0.500 0.500 0.000
Ca 0.000 0.000 0.000
Tl 0.129 0.371 0.000
Tl 0.629 0.129 0.000
Tl 0.371 0.871 0.000
Tl 0.871 0.629 0.000
La 0.330 0.170 0.500
La 0.830 0.330 0.500
La 0.170 0.670 0.500
La 0.670 0.830 0.500

[2]
This record from Alexandria describes an optimized crystal structure of Ca3LaTl4. The functional is PBE-GGA.

Output
total magnetic moment: 0.00 μB/atom
energy of formation: -441.9 meV per atom
total DFT energy (no corrections): -2.992 eV per atom

a = 5.539 Å, b = 5.539 Å, c = 9.624 Å
α = 73.28°, β = 73.28°, γ = 60.00°
Fractional positions:
Ca 0.500 0.500 0.500
Ca 0.248 0.248 0.255
Ca 0.752 0.752 0.745
Tl 0.874 0.874 0.377
Tl 0.376 0.376 0.873
Tl 0.624 0.624 0.127
Tl 0.126 0.126 0.623
La 0.000 0.000 0.000

[3]
This record from Alexandria describes an optimized crystal structure of Ca2LaTl. The functional is PBE-GGA.

Output
total magnetic moment: 0.00 μB/atom
energy of formation: -147.9 meV per atom
total DFT energy (no corrections): -2.972 eV per atom

a = 6.035 Å, b = 6.035 Å, c = 6.035 Å
α = 127.89°, β = 127.89°, γ = 76.81°
Fractional positions:
Ca 0.000 0.000 0.000
Ca 0.250 0.750 0.500
La 0.500 0.500 0.000
Tl 0.750 0.250 0.500

[4]
This record from Alexandria describes an optimized crystal structure of Ca2LaTl. The functional is PBE-GGA.

Output
total magnetic moment: 0.00 μB/atom
energy of formation: -189.5 meV per atom
total DFT energy (no corrections): -3.014 eV per atom

a = 3.853 Å, b = 3.854 Å, c = 9.728 Å
α = 90.00°, β = 90.00°, γ = 90.00°
Fractional positions:
Tl 0.500 0.500 0.755
Ca 0.500 0.500 0.249
Ca 0.000 0.000 0.953
La 0.000 0.000 0.543

[5]
This record from Alexandria describes an optimized crystal structure of Ca2La2Tl. The functional is PBE-GGA.

Output
total magnetic moment: 0.00 μB/atom
energy of formation: 69.8 meV per atom
total DFT energy (no corrections): -3.175 eV per atom

a = 8.234 Å, b = 8.234 Å, c = 5.634 Å
α = 90.00°, β = 90.00°, γ = 90.00°
Fractional positions:
Ca 0.170 0.670 0.500
Ca 0.830 0.330 0.500
Ca 0.670 0.830 0.500
Ca 0.330 0.170 0.500
Tl 0.500 0.500 0.000
Tl 0.000 0.000 0.000
La 0.372 0.872 0.000
La 0.628 0.128 0.000
La 0.128 0.372 0.000
La 0.872 0.628 0.000

[6]
This record from Alexandria describes an optimized crystal structure of Ca2LaTl. The functional is PBE-GGA.

Output
total magnetic moment: 0.00 μB/atom
energy of formation: -144.7 meV per atom
total DFT energy (no corrections): -2.969 eV per atom

a = 5.736 Å, b = 5.736 Å, c = 5.736 Å
α = 60.00°, β = 60.00°, γ = 60.00°
Fractional positions:
La 0.500 0.500 0.500
Ca 0.000 0.000 0.000
Ca 0.250 0.250 0.250
Tl 0.750 0.750 0.750

[7]
This record from Alexandria describes an optimized crystal structure of Ca4La3Tl4. The functional is PBE-GGA.

Output
total magnetic moment: 0.00 μB/atom
energy of formation: -297.4 meV per atom
total DFT energy (no corrections): -3.230 eV per atom

a = 5.396 Å, b = 7.705 Å, c = 9.973 Å
α = 112.72°, β = 105.70°, γ = 90.00°
Fractional positions:
La 0.900 0.900 0.799
La 0.100 0.100 0.201
La 0.000 0.500 0.000
Tl 0.189 0.689 0.379
Tl 0.500 0.799 0.000
Tl 0.811 0.311 0.621
Tl 0.500 0.201 0.000
Ca 0.679 0.454 0.359
Ca 0.679 0.904 0.359
Ca 0.321 0.546 0.641
Ca 0.321 0.096 0.641

[8]
This record from Alexandria describes an optimized crystal structure of Ca2La2Tl. The functional is PBE-GGA.

Output
total magnetic moment: 0.00 μB/atom
energy of formation: 50.1 meV per atom
total DFT energy (no corrections): -3.195 eV per atom

a = 8.132 Å, b = 8.132 Å, c = 5.561 Å
α = 90.00°, β = 90.00°, γ = 90.00°
Fractional positions:
Tl 0.500 0.500 0.000
Tl 0.000 0.000 0.000
Ca 0.351 0.851 0.000
Ca 0.649 0.149 0.000
Ca 0.851 0.649 0.000
Ca 0.149 0.351 0.000
La 0.841 0.341 0.500
La 0.659 0.841 0.500
La 0.341 0.159 0.500
La 0.159 0.659 0.500

[9]
This record from Alexandria describes an optimized crystal structure of Ca2LaTl. The functional is PBE-GGA.

Output
total magnetic moment: 0.00 μB/atom
energy of formation: -78.4 meV per atom
total DFT energy (no corrections): -2.903 eV per atom

a = 6.184 Å, b = 6.184 Å, c = 3.830 Å
α = 90.00°, β = 90.00°, γ = 109.12°
Fractional positions:
Ca 0.500 0.500 0.000
Ca 0.000 0.000 0.000
Tl 0.000 0.500 0.500
La 0.500 0.000 0.500

[10]
This record from Alexandria describes an optimized crystal structure of Ca2LaTl2. The functional is PBE-GGA.

Output
total magnetic moment: 0.05 μB/atom
energy of formation: -286.3 meV per atom
total DFT energy (no corrections): -3.019 eV per atom

a = 9.427 Å, b = 9.427 Å, c = 3.490 Å
α = 90.00°, β = 90.00°, γ = 90.00°
Fractional positions:
Tl 0.174 0.674 0.500
Tl 0.326 0.174 0.500
Tl 0.674 0.826 0.500
Tl 0.826 0.326 0.500
Ca 0.126 0.374 0.000
Ca 0.626 0.126 0.000
Ca 0.374 0.874 0.000
Ca 0.874 0.626 0.000
La 0.500 0.500 0.000
La 0.000 0.000 0.000

[11]
This record from Alexandria describes an optimized crystal structure of Ca2LaTl. The functional is PBE-GGA.

Output
total magnetic moment: 0.00 μB/atom
energy of formation: 19.1 meV per atom
total DFT energy (no corrections): -2.805 eV per atom

a = 9.301 Å, b = 9.301 Å, c = 7.419 Å
α = 51.18°, β = 51.18°, γ = 90.00°
Fractional positions:
La 0.250 0.750 0.500
La 0.500 0.500 0.000
Tl 0.000 0.000 0.000
Tl 0.750 0.250 0.500
Ca 0.375 0.325 0.750
Ca 0.675 0.125 0.250
Ca 0.075 0.625 0.250
Ca 0.875 0.925 0.750

[12]
This record from Alexandria describes an optimized crystal structure of CaLaTm2Tl4. The functional is PBE-GGA.

Output
total magnetic moment: 0.00 μB/atom
energy of formation: -355.8 meV per atom
total DFT energy (no corrections): -3.523 eV per atom

a = 5.418 Å, b = 5.418 Å, c = 9.503 Å
α = 73.44°, β = 73.44°, γ = 60.00°
Fractional positions:
Tl 0.627 0.627 0.120
Tl 0.124 0.124 0.629
Tl 0.876 0.876 0.371
Tl 0.373 0.373 0.880
Tm 0.252 0.252 0.243
Tm 0.748 0.748 0.757
La 0.500 0.500 0.500
Ca 0.000 0.000 0.000

[13]
This record from Alexandria describes an optimized crystal structure of Ca2LaTmTl4. The functional is PBE-GGA.

Output
total magnetic moment: 0.00 μB/atom
energy of formation: -383.5 meV per atom
total DFT energy (no corrections): -3.242 eV per atom

a = 5.481 Å, b = 5.481 Å, c = 9.562 Å
α = 73.34°, β = 73.34°, γ = 60.00°
Fractional positions:
Tm 0.500 0.500 0.500
Tl 0.127 0.127 0.618
Tl 0.379 0.379 0.864
Tl 0.873 0.873 0.382
Tl 0.621 0.621 0.136
La 0.000 0.000 0.000
Ca 0.751 0.751 0.746
Ca 0.249 0.249 0.254

[14]
This record from Alexandria describes an optimized crystal structure of CaLaYTl. The functional is PBE-GGA.

Output
total magnetic moment: 0.00 μB/atom
energy of formation: -109.8 meV per atom
total DFT energy (no corrections): -4.050 eV per atom

a = 5.639 Å, b = 5.639 Å, c = 5.639 Å
α = 60.00°, β = 60.00°, γ = 60.00°
Fractional positions:
Tl 0.500 0.500 0.500
Y 0.750 0.750 0.750
La 0.250 0.250 0.250
Ca 0.000 0.000 0.000

[15]
This record from Alexandria describes an optimized crystal structure of Ca2LaYTl4. The functional is PBE-GGA.

Output
total magnetic moment: 0.00 μB/atom
energy of formation: -404.2 meV per atom
total DFT energy (no corrections): -3.512 eV per atom

a = 5.500 Å, b = 5.500 Å, c = 9.557 Å
α = 73.28°, β = 73.28°, γ = 60.00°
Fractional positions:
Y 0.500 0.500 0.500
Tl 0.873 0.873 0.380
Tl 0.622 0.622 0.133
Tl 0.127 0.127 0.620
Tl 0.378 0.378 0.867
Ca 0.249 0.249 0.253
Ca 0.751 0.751 0.747
La 0.000 0.000 0.000

[16]
This record from Alexandria describes an optimized crystal structure of CaLa2ZrTl. The functional is PBE-GGA.

Output
total magnetic moment: 0.00 μB/atom
energy of formation: 458.9 meV per atom
total DFT energy (no corrections): -4.095 eV per atom

a = 5.691 Å, b = 5.852 Å, c = 5.691 Å
α = 90.00°, β = 90.00°, γ = 90.00°
Fractional positions:
Tl 0.500 0.500 0.500
Zr 0.000 0.000 0.000
La 0.500 0.000 0.000
La 0.000 0.000 0.500
Ca 0.000 0.500 0.000

[17]
This record from Alexandria describes an optimized crystal structure of CaLaZrTl2. The functional is PBE-GGA.

Output
total magnetic moment: 0.00 μB/atom
energy of formation: 238.9 meV per atom
total DFT energy (no corrections): -3.803 eV per atom

a = 5.752 Å, b = 5.420 Å, c = 5.752 Å
α = 90.00°, β = 90.00°, γ = 90.00°
Fractional positions:
Zr 0.000 0.000 0.000
La 0.000 0.500 0.000
Ca 0.500 0.500 0.500
Tl 0.000 0.000 0.500
Tl 0.500 0.000 0.000

[18]
This record from Alexandria describes an optimized crystal structure of Ca2LaTm. The functional is PBE-GGA.

Output
total magnetic moment: 0.15 μB/atom
energy of formation: 202.8 meV per atom
total DFT energy (no corrections): -3.148 eV per atom

a = 3.598 Å, b = 3.598 Å, c = 13.403 Å
α = 82.29°, β = 82.29°, γ = 60.00°
Fractional positions:
Tm 0.500 0.500 0.500
Ca 0.090 0.090 0.730
Ca 0.910 0.910 0.270
La 0.000 0.000 0.000

[19]
This record from Alexandria describes an optimized crystal structure of Ca3La12Tm5. The functional is PBE-GGA.

Output
total magnetic moment: 0.00 μB/atom
energy of formation: 892.2 meV per atom
total DFT energy (no corrections): -3.482 eV per atom

a = 16.782 Å, b = 16.782 Å, c = 16.782 Å
α = 109.47°, β = 109.47°, γ = 109.47°
Fractional positions:
Tm 0.625 0.875 0.250
Tm 0.750 0.125 0.875
Tm 0.625 0.750 0.875
Tm 0.125 0.750 0.375
Tm 0.000 0.000 0.000
Tm 0.875 0.250 0.625
Tm 0.375 0.125 0.750
Tm 0.250 0.375 0.625
Tm 0.000 0.000 0.500
Tm 0.125 0.375 0.250
Tm 0.500 0.500 0.000
Tm 0.875 0.625 0.750
Tm 0.375 0.250 0.125
Tm 0.500 0.000 0.000
Tm 0.000 0.500 0.000
Tm 0.500 0.000 0.500
Tm 0.000 0.500 0.500
Tm 0.750 0.625 0.375
Tm 0.500 0.500 0.500
Tm 0.250 0.875 0.125
Ca 0.750 0.375 0.125
Ca 0.625 0.250 0.375
Ca 0.125 0.250 0.875
Ca 0.875 0.750 0.125
Ca 0.875 0.125 0.250
Ca 0.125 0.875 0.750
Ca 0.375 0.750 0.625
Ca 0.625 0.375 0.750
Ca 0.250 0.125 0.375
Ca 0.250 0.625 0.875
Ca 0.750 0.875 0.625
Ca 0.375 0.625 0.250
La 0.814 0.951 0.004
La 0.496 0.810 0.947
La 0.363 0.053 0.549
La 0.363 0.310 0.314
La 0.004 0.553 0.690
La 0.690 0.637 0.186
La 0.814 0.863 0.310
La 0.451 0.004 0.314
La 0.863 0.814 0.810
La 0.137 0.951 0.447
La 0.049 0.863 0.053
La 0.947 0.637 0.951
La 0.310 0.363 0.814
La 0.996 0.549 0.186
La 0.314 0.504 0.451
La 0.951 0.137 0.947
La 0.451 0.447 0.637
La 0.504 0.314 0.951
La 0.686 0.190 0.637
La 0.053 0.363 0.049
La 0.447 0.996 0.810
La 0.549 0.553 0.363
La 0.186 0.049 0.996
La 0.447 0.451 0.137
La 0.190 0.504 0.553
La 0.310 0.947 0.996
La 0.686 0.496 0.549
La 0.004 0.451 0.814
La 0.637 0.690 0.686
La 0.810 0.496 0.447
La 0.553 0.549 0.863
La 0.314 0.810 0.363
La 0.137 0.186 0.190
La 0.553 0.004 0.190
La 0.810 0.314 0.863
La 0.951 0.814 0.504
La 0.053 0.690 0.504
La 0.186 0.137 0.690
La 0.637 0.947 0.451
La 0.496 0.686 0.049
La 0.690 0.053 0.004
La 0.947 0.310 0.496
La 0.190 0.686 0.137
La 0.049 0.186 0.496
La 0.996 0.447 0.310
La 0.549 0.996 0.686
La 0.863 0.049 0.553
La 0.504 0.190 0.053

[20]
This record from Alexandria describes an optimized crystal structure of CaLa7Tm2. The functional is PBE-GGA.

Output
total magnetic moment: 0.00 μB/atom
energy of formation: 520.2 meV per atom
total DFT energy (no corrections): -4.023 eV per atom

a = 6.103 Å, b = 8.903 Å, c = 8.903 Å
α = 62.97°, β = 90.00°, γ = 90.00°
Fractional positions:
La 0.500 0.500 0.500
La 0.000 0.668 0.668
La 0.500 0.076 0.698
La 0.000 0.332 0.332
La 0.500 0.924 0.302
La 0.500 0.302 0.924
La 0.500 0.698 0.076
Tm 0.500 0.713 0.713
Tm 0.500 0.287 0.287
Ca 0.000 0.000 0.000

[21]
This record from Alexandria describes an optimized crystal structure of CaLa5Tm. The functional is PBE-GGA.

Output
total magnetic moment: 0.00 μB/atom
energy of formation: 122.2 meV per atom
total DFT energy (no corrections): -4.322 eV per atom

a = 10.220 Å, b = 6.776 Å, c = 12.405 Å
α = 74.35°, β = 90.00°, γ = 138.95°
Fractional positions:
La 0.977 0.589 0.839
La 0.455 0.228 0.964
La 0.545 0.772 0.036
La 0.773 0.228 0.464
La 0.227 0.772 0.536
La 0.612 0.589 0.339
La 0.388 0.411 0.661
La 0.854 0.000 0.750
La 0.023 0.411 0.161
La 0.146 0.000 0.250
Tm 0.000 0.000 0.000
Tm 0.000 0.000 0.500
Ca 0.503 0.000 0.750
Ca 0.497 0.000 0.250

[22]
This record from Alexandria describes an optimized crystal structure of CaLaTm4. The functional is PBE-GGA.

Output
total magnetic moment: 0.00 μB/atom
energy of formation: 222.8 meV per atom
total DFT energy (no corrections): -3.913 eV per atom

a = 6.654 Å, b = 6.654 Å, c = 6.654 Å
α = 60.00°, β = 60.00°, γ = 60.00°
Fractional positions:
Ca 0.250 0.250 0.250
Tm 0.626 0.123 0.626
Tm 0.626 0.626 0.626
Tm 0.626 0.626 0.123
Tm 0.123 0.626 0.626
La 0.000 0.000 0.000